# Ac2NdZn (PBE, relaxed)
data_Ac2NdZn
_symmetry_space_group_name_H-M 'P 1'
_symmetry_Int_Tables_number 1
_symmetry_space_group_name_Hall 'P 1'
_cell_length_a 3.910
_cell_length_b 3.910
_cell_length_c 9.241
_cell_angle_alpha 90.00
_cell_angle_beta 90.00
_cell_angle_gamma 90.00
loop_
_atom_site_label
_atom_site_fract_x
_atom_site_fract_y
_atom_site_fract_z
_atom_site_occupancy
Nd1 0.500 0.500 0.500 1
Ac1 0.000 0.000 0.211 1
Ac2 0.000 0.000 0.789 1
Zn1 0.500 0.500 0.000 1
# energy above the most stable polymorph in this dataset	4	meV/atom
# total energy	-3.675	eV per atom
# total magnetization	0.0	μB per cell
# space group	P4/mmm (123)
# E_form	-10.6	kJ per mole of atoms

***

# YRuAu2 (PBE, relaxed)
data_YRuAu2
_symmetry_space_group_name_H-M 'P 1'
_symmetry_Int_Tables_number 1
_symmetry_space_group_name_Hall 'P 1'
_cell_length_a 4.155
_cell_length_b 4.155
_cell_length_c 4.314
_cell_angle_alpha 90.00
_cell_angle_beta 90.00
_cell_angle_gamma 90.00
loop_
_atom_site_label
_atom_site_fract_x
_atom_site_fract_y
_atom_site_fract_z
_atom_site_occupancy
Ru1 0.500 0.000 0.500 1
Au1 0.500 0.500 0.000 1
Y1 0.000 0.500 0.500 1
Au2 0.000 0.000 0.000 1
# energy above the most stable polymorph in this dataset	0	meV/atom
# total energy	-5.933	eV per atom
# total magnetization	0.5	μB per cell
# space group	P4/mmm (123)
# E_form	-34.7	kJ per mole of atoms

***

# KZr2Rh (PBE, relaxed)
data_KZr2Rh
_symmetry_space_group_name_H-M 'P 1'
_symmetry_Int_Tables_number 1
_symmetry_space_group_name_Hall 'P 1'
_cell_length_a 5.054
_cell_length_b 5.054
_cell_length_c 8.271
_cell_angle_alpha 72.05
_cell_angle_beta 72.05
_cell_angle_gamma 37.78
loop_
_atom_site_label
_atom_site_fract_x
_atom_site_fract_y
_atom_site_fract_z
_atom_site_occupancy
Rh1 0.233 0.233 0.093 1
Zr1 0.959 0.959 0.080 1
Zr2 0.729 0.729 0.848 1
K1 0.579 0.579 0.479 1
# energy above the most stable polymorph in this dataset	249	meV/atom
# total energy	-6.121	eV per atom
# total magnetization	0.8	μB per cell
# space group	Cm (8)
# E_form	25.6	kJ per mole of atoms

***

# UIn2Se3 (PBE, relaxed)
data_UIn2Se3
_symmetry_space_group_name_H-M 'P 1'
_symmetry_Int_Tables_number 1
_symmetry_space_group_name_Hall 'P 1'
_cell_length_a 7.340
_cell_length_b 7.340
_cell_length_c 7.944
_cell_angle_alpha 98.57
_cell_angle_beta 98.57
_cell_angle_gamma 118.27
loop_
_atom_site_label
_atom_site_fract_x
_atom_site_fract_y
_atom_site_fract_z
_atom_site_occupancy
In1 0.833 0.167 0.500 1
U1 0.663 0.337 0.000 1
Se1 0.636 0.969 0.799 1
Se2 0.410 0.116 0.222 1
In2 0.486 0.514 0.500 1
Se3 0.884 0.590 0.778 1
Se4 0.257 0.217 0.778 1
U2 0.004 0.996 0.000 1
Se5 0.783 0.743 0.222 1
Se6 0.031 0.364 0.201 1
In3 0.181 0.819 0.500 1
In4 0.333 0.667 0.000 1
# total energy	-5.249	eV per atom
# total magnetization	4.0	μB per cell
# space group	C2/m (12)
# ΔE_f (raw)	-0.712	eV per atom

***

# TlPdSe2N (PBE, relaxed)
data_TlPdSe2N
_symmetry_space_group_name_H-M 'P 1'
_symmetry_Int_Tables_number 1
_symmetry_space_group_name_Hall 'P 1'
_cell_length_a 5.464
_cell_length_b 5.464
_cell_length_c 4.212
_cell_angle_alpha 90.00
_cell_angle_beta 90.00
_cell_angle_gamma 90.00
loop_
_atom_site_label
_atom_site_fract_x
_atom_site_fract_y
_atom_site_fract_z
_atom_site_occupancy
Pd1 0.500 0.500 0.500 1
Se1 0.000 0.500 0.000 1
Se2 0.500 0.000 0.000 1
Tl1 0.000 0.000 0.000 1
N1 0.000 0.000 0.500 1
# energy above the most stable polymorph in this dataset	899	meV/atom
# total energy	-3.140	eV per atom
# total magnetization	2.9	μB per cell
# space group	P4/mmm (123)
# ΔE_f (raw)	1.431	eV per atom

***

# RbB2Ir2 (PBE, relaxed)
data_RbB2Ir2
_symmetry_space_group_name_H-M 'P 1'
_symmetry_Int_Tables_number 1
_symmetry_space_group_name_Hall 'P 1'
_cell_length_a 3.988
_cell_length_b 3.988
_cell_length_c 6.851
_cell_angle_alpha 73.07
_cell_angle_beta 73.07
_cell_angle_gamma 90.00
loop_
_atom_site_label
_atom_site_fract_x
_atom_site_fract_y
_atom_site_fract_z
_atom_site_occupancy
Ir1 0.250 0.750 0.500 1
Rb1 0.000 0.000 0.000 1
B1 0.303 0.303 0.395 1
Ir2 0.750 0.250 0.500 1
B2 0.697 0.697 0.605 1
# energy above the most stable polymorph in this dataset	0	meV/atom
# total energy	-6.640	eV per atom
# total magnetization	0.0	μB per cell
# space group	I4/mmm (139)
# E_form	-22.3	kJ per mole of atoms

***

# TbHoPd2 (PBE, relaxed)
data_TbHoPd2
_symmetry_space_group_name_H-M 'P 1'
_symmetry_Int_Tables_number 1
_symmetry_space_group_name_Hall 'P 1'
_cell_length_a 4.093
_cell_length_b 4.093
_cell_length_c 7.022
_cell_angle_alpha 73.06
_cell_angle_beta 73.06
_cell_angle_gamma 60.00
loop_
_atom_site_label
_atom_site_fract_x
_atom_site_fract_y
_atom_site_fract_z
_atom_site_occupancy
Ho1 0.000 0.000 0.000 1
Pd1 0.749 0.749 0.754 1
Tb1 0.500 0.500 0.500 1
Pd2 0.251 0.251 0.246 1
# energy above the most stable polymorph in this dataset	178	meV/atom
# total energy	-5.639	eV per atom
# total magnetization	0.0	μB per cell
# space group	R-3m (166)
# E_form	-71.4	kJ per mole of atoms

***

# TbDy3Ho3 (PBE, relaxed)
data_TbDy3Ho3
_symmetry_space_group_name_H-M 'P 1'
_symmetry_Int_Tables_number 1
_symmetry_space_group_name_Hall 'P 1'
_cell_length_a 5.624
_cell_length_b 9.516
_cell_length_c 9.516
_cell_angle_alpha 120.00
_cell_angle_beta 90.00
_cell_angle_gamma 90.00
loop_
_atom_site_label
_atom_site_fract_x
_atom_site_fract_y
_atom_site_fract_z
_atom_site_occupancy
Tb1 0.250 0.667 0.333 1
Tb2 0.750 0.333 0.667 1
Ho1 0.250 0.524 0.905 1
Dy1 0.250 0.238 0.048 1
Dy2 0.750 0.762 0.952 1
Dy3 0.750 0.191 0.238 1
Ho2 0.750 0.905 0.381 1
Ho3 0.750 0.619 0.524 1
Ho4 0.250 0.381 0.476 1
Ho5 0.750 0.476 0.095 1
Dy4 0.250 0.952 0.191 1
Dy5 0.250 0.809 0.762 1
Dy6 0.750 0.048 0.809 1
Ho6 0.250 0.095 0.619 1
# energy above the most stable polymorph in this dataset	0	meV/atom
# total energy	-4.587	eV per atom
# total magnetization	0.0	μB per cell
# space group	P6_3/m (176)
# E_form	0.8	kJ per mole of atoms